First-principles (meta-GGA SCAN) data for a PBEsol-optimized structure of KSbAu2, as listed in the Alexandria database.

Output
Uncorrected formation energy   -0.3308 eV per atom
V   29.06 A^3/atom

a = 8.2633 Å, b = 4.7645 Å, c = 6.5079 Å
α = 90.00°, β = 114.85°, γ = 90.00°
Space group Cm (No. 8)
Inequivalent atoms, fractional coordinates:
K: 0.0000 0.0000 0.0000
Sb: 0.1919 0.0000 0.5772
Au: 0.3125 0.5000 0.4387
Au: 0.4886 0.0000 0.4667